Entry 1:
A PBEsol-optimized structure of CaGdAlO4. Source: the Alexandria database, functional SCAN.

Properties
ΔE_f (raw), meV/atom: -3503
Symmetry: I4mm (107)
M_tot, Bohr magnetons per cell: 7.0

Cell: 6.465 6.465 6.465 Å, 147.20 147.20 47.06°
Fractional coordinates of all 7 atoms:
Ca1 0.000 0.000 0.000
Gd1 0.285 0.285 0.000
Al1 0.637 0.637 0.000
O1 0.148 0.648 0.500
O2 0.474 0.474 0.000
O3 0.648 0.148 0.500
O4 0.811 0.811 0.000

=====

Entry 2:
A PBEsol-optimized structure of CoTeN2F. Source: the Alexandria database, functional SCAN.

Properties
ΔE_f (raw), meV/atom: 387
Symmetry: P4/mmm (123)
M_tot, Bohr magnetons per cell: 0.9

Cell: 3.810 3.810 3.707 Å, 90.00 90.00 90.00°
Fractional coordinates of all 5 atoms:
Co1 0.000 0.000 0.000
Te1 0.500 0.500 0.500
N1 0.000 0.500 0.000
N2 0.500 0.000 0.000
F1 0.000 0.000 0.500

=====

Entry 3:
A PBEsol-optimized structure of CrCoN3. Source: the Alexandria database, functional SCAN.

Properties
ΔE_f (raw), meV/atom: 917
Symmetry: Pm-3m (221)
M_tot, Bohr magnetons per cell: 3.8

Cell: 3.642 3.642 3.642 Å, 90.00 90.00 90.00°
Fractional coordinates of all 5 atoms:
Cr1 0.000 0.000 0.000
Co1 0.500 0.500 0.500
N1 0.000 0.000 0.500
N2 0.000 0.500 0.000
N3 0.500 0.000 0.000

=====

Entry 4:
A PBEsol-optimized structure of CuAs2Pt. Source: the Alexandria database, functional SCAN.

Properties
Symmetry: I-42d (122)
Energy relative to the elements, meV/atom: -72
M_tot, Bohr magnetons per cell: 0.0

Cell: 8.243 8.243 8.243 Å, 150.50 150.50 42.21°
Fractional coordinates of all 8 atoms:
Cu1 0.000 0.000 0.000
Cu2 0.750 0.250 0.500
As1 0.108 0.625 0.983
As2 0.375 0.358 0.483
As3 0.642 0.125 0.017
As4 0.875 0.892 0.517
Pt1 0.250 0.750 0.500
Pt2 0.500 0.500 0.000

=====

Entry 5:
A PBEsol-optimized structure of ScHgTe2. Source: the Alexandria database, functional SCAN.

Properties
ΔE_f (raw), meV/atom: -423
Symmetry: Cmm2 (35)
M_tot, Bohr magnetons per cell: 0.0

Cell: 3.407 3.407 9.192 Å, 90.00 90.00 101.37°
Fractional coordinates of all 4 atoms:
Sc1 0.000 0.000 0.000
Hg1 0.500 0.500 0.219
Te1 0.000 0.000 0.454
Te2 0.500 0.500 0.807

=====

Entry 6:
A PBEsol-optimized structure of SrCoW2. Source: the Alexandria database, functional SCAN.

Properties
Symmetry: P4mm (99)
Energy relative to the elements, meV/atom: 771
M_tot, Bohr magnetons per cell: 1.2

Cell: 3.153 3.153 7.557 Å, 90.00 90.00 90.00°
Fractional coordinates of all 4 atoms:
Sr1 0.000 0.000 0.000
Co1 0.500 0.500 0.682
W1 0.000 0.000 0.529
W2 0.500 0.500 0.337

=====

Entry 7:
A PBEsol-optimized structure of La2OsI. Source: the Alexandria database, functional SCAN.

Properties
ΔE_f (raw), meV/atom: -184
Symmetry: Fm-3m (225)
M_tot, Bohr magnetons per cell: 0.0

Cell: 5.251 5.251 5.251 Å, 60.00 60.00 60.00°
Fractional coordinates of all 4 atoms:
La1 0.250 0.250 0.250
La2 0.750 0.750 0.750
Os1 0.000 0.000 0.000
I1 0.500 0.500 0.500

=====

Entry 8:
A PBEsol-optimized structure of CdTe3Os. Source: the Alexandria database, functional SCAN.

Properties
ΔE_f (raw), meV/atom: 679
Symmetry: Pm-3m (221)
M_tot, Bohr magnetons per cell: 0.0

Cell: 5.218 5.218 5.218 Å, 90.00 90.00 90.00°
Fractional coordinates of all 5 atoms:
Cd1 0.000 0.000 0.000
Te1 0.000 0.500 0.500
Te2 0.500 0.000 0.500
Te3 0.500 0.500 0.000
Os1 0.500 0.500 0.500

=====

Entry 9:
A PBEsol-optimized structure of TlZn2Br. Source: the Alexandria database, functional SCAN.

Properties
ΔE_f (raw), meV/atom: 98
Symmetry: P4/mmm (123)
M_tot, Bohr magnetons per cell: 0.0

Cell: 3.467 3.467 7.311 Å, 90.00 90.00 90.00°
Fractional coordinates of all 4 atoms:
Tl1 0.000 0.000 0.000
Zn1 0.500 0.500 0.256
Zn2 0.500 0.500 0.744
Br1 0.000 0.000 0.500

=====

Entry 10:
A PBEsol-optimized structure of ErCoGe. Source: the Alexandria database, functional SCAN.

Properties
Symmetry: Pnma (62)
Energy relative to the elements, meV/atom: -685
M_tot, Bohr magnetons per cell: 0.0

Cell: 6.745 4.160 6.989 Å, 90.00 90.00 90.00°
Fractional coordinates of all 12 atoms:
Er1 0.012 0.250 0.196
Er2 0.488 0.750 0.696
Er3 0.512 0.250 0.304
Er4 0.988 0.750 0.804
Co1 0.153 0.750 0.434
Co2 0.347 0.250 0.934
Co3 0.653 0.750 0.066
Co4 0.847 0.250 0.566
Ge1 0.203 0.250 0.604
Ge2 0.297 0.750 0.104
Ge3 0.703 0.250 0.896
Ge4 0.797 0.750 0.396

=====

Entry 11:
A PBEsol-optimized structure of Na2YHfZr. Source: the Alexandria database, functional SCAN.

Properties
Symmetry: P4/mmm (123)
Energy relative to the elements, meV/atom: 1585
M_tot, Bohr magnetons per cell: 0.0

Cell: 5.225 5.225 5.174 Å, 90.00 90.00 90.00°
Fractional coordinates of all 5 atoms:
Na1 0.000 0.500 0.000
Na2 0.500 0.000 0.000
Y1 0.000 0.000 0.500
Hf1 0.500 0.500 0.500
Zr1 0.000 0.000 0.000

=====

Entry 12:
A PBEsol-optimized structure of Li2ReOs. Source: the Alexandria database, functional SCAN.

Properties
Symmetry: R3m (160)
Energy relative to the elements, meV/atom: 125
M_tot, Bohr magnetons per cell: 0.0

Cell: 9.460 9.460 9.460 Å, 16.58 16.58 16.58°
Fractional coordinates of all 4 atoms:
Li1 0.000 0.000 0.000
Li2 0.241 0.241 0.241
Re1 0.489 0.489 0.489
Os1 0.749 0.749 0.749

=====

Entry 13:
A PBEsol-optimized structure of AlCuW. Source: the Alexandria database, functional SCAN.

Properties
Symmetry: P3m1 (156)
Energy relative to the elements, meV/atom: 108
M_tot, Bohr magnetons per cell: 0.0

Cell: 2.748 2.748 6.518 Å, 90.00 90.00 120.00°
Fractional coordinates of all 3 atoms:
Al1 0.000 0.000 0.000
Cu1 0.333 0.667 0.684
W1 0.667 0.333 0.347

=====

Entry 14:
A PBEsol-optimized structure of ZnCdBi2. Source: the Alexandria database, functional SCAN.

Properties
Symmetry: I-42d (122)
Energy relative to the elements, meV/atom: 207
M_tot, Bohr magnetons per cell: 0.0

Cell: 7.448 7.448 7.448 Å, 126.47 126.47 79.11°
Fractional coordinates of all 8 atoms:
Zn1 0.000 0.000 0.000
Zn2 0.750 0.250 0.500
Cd1 0.250 0.750 0.500
Cd2 0.500 0.500 0.000
Bi1 0.100 0.625 0.975
Bi2 0.375 0.350 0.475
Bi3 0.650 0.125 0.025
Bi4 0.875 0.900 0.525

=====

Entry 15:
A PBEsol-optimized structure of Fe2Rh. Source: the Alexandria database, functional SCAN.

Properties
Symmetry: P2_1/m (11)
Energy relative to the elements, meV/atom: -48
M_tot, Bohr magnetons per cell: 12.1

Cell: 2.562 3.851 7.346 Å, 90.00 97.75 90.00°
Fractional coordinates of all 6 atoms:
Fe1 0.097 0.250 0.238
Fe2 0.353 0.750 0.073
Fe3 0.647 0.250 0.927
Fe4 0.903 0.750 0.762
Rh1 0.280 0.250 0.594
Rh2 0.720 0.750 0.406

=====

Entry 16:
A PBEsol-optimized structure of SrZr2Pt. Source: the Alexandria database, functional SCAN.

Properties
Symmetry: P4/mmm (123)
Energy relative to the elements, meV/atom: -24
M_tot, Bohr magnetons per cell: 0.0

Cell: 4.202 4.202 5.070 Å, 90.00 90.00 90.00°
Fractional coordinates of all 4 atoms:
Sr1 0.000 0.000 0.000
Zr1 0.000 0.500 0.500
Zr2 0.500 0.000 0.500
Pt1 0.500 0.500 0.000

=====

Entry 17:
A PBEsol-optimized structure of NiIrRh. Source: the Alexandria database, functional SCAN.

Properties
Symmetry: F-43m (216)
Energy relative to the elements, meV/atom: 485
M_tot, Bohr magnetons per cell: 0.0

Cell: 3.930 3.930 3.930 Å, 60.00 60.00 60.00°
Fractional coordinates of all 3 atoms:
Ni1 0.000 0.000 0.000
Ir1 0.750 0.750 0.750
Rh1 0.250 0.250 0.250

=====

Entry 18:
A PBEsol-optimized structure of Ta2CdSi. Source: the Alexandria database, functional SCAN.

Properties
ΔE_f (raw), meV/atom: 167
Symmetry: R-3m (166)
M_tot, Bohr magnetons per cell: 0.0

Cell: 9.536 9.536 9.536 Å, 17.49 17.49 17.49°
Fractional coordinates of all 4 atoms:
Ta1 0.244 0.244 0.244
Ta2 0.756 0.756 0.756
Cd1 0.000 0.000 0.000
Si1 0.500 0.500 0.500

=====

Entry 19:
A PBEsol-optimized structure of Nb3HgAs. Source: the Alexandria database, functional SCAN.

Properties
Symmetry: Pm-3m (221)
Energy relative to the elements, meV/atom: 1853
M_tot, Bohr magnetons per cell: 0.0

Cell: 4.985 4.985 4.985 Å, 90.00 90.00 90.00°
Fractional coordinates of all 5 atoms:
Nb1 0.000 0.000 0.500
Nb2 0.000 0.500 0.000
Nb3 0.500 0.000 0.000
Hg1 0.000 0.000 0.000
As1 0.500 0.500 0.500

=====

Entry 20:
A PBEsol-optimized structure of Na6V2B4PO16. Source: the Alexandria database, functional SCAN.

Properties
ΔE_f (raw), meV/atom: -2448
Symmetry: Fd-3 (203)
M_tot, Bohr magnetons per cell: 1.8

Cell: 9.784 9.784 9.784 Å, 60.00 60.00 60.00°
Fractional coordinates of all 58 atoms:
Na1 0.083 0.083 0.667
Na2 0.083 0.667 0.083
Na3 0.083 0.667 0.667
Na4 0.333 0.333 0.917
Na5 0.333 0.917 0.333
Na6 0.333 0.917 0.917
Na7 0.667 0.083 0.083
Na8 0.667 0.083 0.667
Na9 0.667 0.667 0.083
Na10 0.917 0.333 0.333
Na11 0.917 0.333 0.917
Na12 0.917 0.917 0.333
V1 0.000 0.500 0.500
V2 0.500 0.000 0.500
V3 0.500 0.500 0.000
V4 0.500 0.500 0.500
B1 0.289 0.289 0.289
B2 0.289 0.289 0.632
B3 0.289 0.632 0.289
B4 0.368 0.711 0.711
B5 0.632 0.289 0.289
B6 0.711 0.368 0.711
B7 0.711 0.711 0.368
B8 0.711 0.711 0.711
P1 0.125 0.125 0.125
P2 0.875 0.875 0.875
O1 0.060 0.060 0.060
O2 0.060 0.060 0.320
O3 0.060 0.320 0.060
O4 0.134 0.325 0.633
O5 0.134 0.408 0.325
O6 0.134 0.633 0.408
O7 0.320 0.060 0.060
O8 0.325 0.134 0.408
O9 0.325 0.408 0.633
O10 0.325 0.633 0.134
O11 0.367 0.592 0.866
O12 0.367 0.675 0.592
O13 0.367 0.866 0.675
O14 0.408 0.134 0.633
O15 0.408 0.325 0.134
O16 0.408 0.633 0.325
O17 0.592 0.367 0.675
O18 0.592 0.675 0.866
O19 0.592 0.866 0.367
O20 0.633 0.134 0.325
O21 0.633 0.325 0.408
O22 0.633 0.408 0.134
O23 0.675 0.367 0.866
O24 0.675 0.592 0.367
O25 0.675 0.866 0.592
O26 0.680 0.940 0.940
O27 0.866 0.367 0.592
O28 0.866 0.592 0.675
O29 0.866 0.675 0.367
O30 0.940 0.680 0.940
O31 0.940 0.940 0.680
O32 0.940 0.940 0.940